Entry 1:
The following is a DFT calculation (GGA-PBE) of a relaxed structure of YCoBiIr.

Output
Volume   76.63 Å³/cell
M_tot   1.81 μB per cell
E above lowest polymorph   0.000 eV per atom

a b c (Å): 4.7676 4.7676 4.7676
angles (deg): 60.00 60.00 60.00
Closest atoms and distances in Å follow each position.
Element x y z (fractional)
Bi1 0.0000 0.0000 0.0000  4 Co 2.92, 4 Ir 2.92
Co1 0.7500 0.7500 0.7500  4 Bi 2.92, 4 Y 2.92
Ir1 0.2500 0.2500 0.2500  4 Bi 2.92, 4 Y 2.92
Y1 0.5000 0.5000 0.5000  4 Co 2.92, 4 Ir 2.92


Entry 2:
The following is a DFT calculation (GGA-PBE) of a relaxed structure of Zr2CoBi2Ir.

Output
Total DFT energy (no corrections)   -7.387 eV/atom
Volume   516.24 Å³/cell
M_tot   0.01 μB per cell

a b c (Å): 7.8048 4.4982 14.9261
angles (deg): 90.00 99.89 90.00
Closest atoms and distances in Å follow each position.
Element x y z (fractional)
Bi1 0.1768 0.5000 0.0585  2 Co 2.71, 2 Ir 2.81-2.84
Bi2 0.6979 0.0000 0.0602  1 Co 2.69, 3 Ir 2.80-2.82
Bi3 0.9405 0.5000 0.3206  1 Co 2.68, 3 Ir 2.79
Bi4 0.4407 0.0000 0.3210  1 Co 2.67, 3 Ir 2.80
Bi5 0.6852 0.5000 0.5576  3 Co 2.72-2.73, 1 Ir 2.80
Bi6 0.1873 0.0000 0.5633  4 Co 2.70-2.74
Bi7 0.4250 0.5000 0.8066  2 Co 2.71, 2 Ir 2.81
Bi8 0.9478 0.0000 0.8135  2 Co 2.70-2.71, 2 Ir 2.81
Co1 0.4994 0.0000 0.5028  4 Bi 2.67-2.74, 4 Zr 2.68-2.77
Co2 0.0018 0.5000 0.5031  4 Zr 2.67-2.74, 4 Bi 2.68-2.74
Co3 0.2481 0.0000 0.7472  4 Bi 2.70-2.71, 4 Zr 2.74-2.76
Co4 0.0011 0.0000 0.9978  4 Bi 2.69-2.71, 4 Zr 2.73-2.77
Ir1 0.2504 0.5000 0.2513  4 Zr 2.76-2.82, 4 Bi 2.79-2.84
Ir2 0.7514 0.0000 0.2518  4 Zr 2.77-2.81, 4 Bi 2.79-2.82
Ir3 0.7490 0.5000 0.7480  4 Zr 2.76-2.78, 4 Bi 2.80-2.81
Ir4 0.4987 0.5000 0.9979  4 Zr 2.76-2.78, 4 Bi 2.80-2.81
Zr1 0.0640 0.0000 0.1861  3 Ir 2.76-2.78, 1 Co 2.77
Zr2 0.5616 0.5000 0.1870  4 Ir 2.76-2.78
Zr3 0.8159 0.0000 0.4429  3 Co 2.74-2.77, 1 Ir 2.81
Zr4 0.3125 0.5000 0.4431  3 Co 2.73-2.74, 1 Ir 2.82
Zr5 0.0630 0.5000 0.6844  3 Co 2.67-2.75, 1 Ir 2.78
Zr6 0.5581 0.0000 0.6848  2 Co 2.68-2.74, 2 Ir 2.77
Zr7 0.3094 0.0000 0.9351  2 Co 2.73-2.76, 2 Ir 2.76
Zr8 0.8145 0.5000 0.9354  2 Co 2.75, 2 Ir 2.76-2.78


Entry 3:
The following is a DFT calculation (GGA-PBE) of a relaxed structure of KCoBi.

Output
Total DFT energy (no corrections)   -3.507 eV/atom
Volume   82.23 Å³/cell
M_tot   2.23 μB per cell

a b c (Å): 4.8812 4.8812 4.8812
angles (deg): 60.00 60.00 60.00
Closest atoms and distances in Å follow each position.
Element x y z (fractional)
Bi1 0.2500 0.2500 0.2500  4 Co 2.99
Co1 0.0000 0.0000 0.0000  4 Bi 2.99, 4 K 2.99
K1 0.7500 0.7500 0.7500  4 Co 2.99


Entry 4:
The following is a DFT calculation (GGA-PBE) of a relaxed structure of KCoBi.

Output
Total DFT energy (no corrections)   -2.696 eV/atom
Volume   100.30 Å³/cell
M_tot   2.56 μB per cell

a b c (Å): 5.2153 5.2153 5.2153
angles (deg): 60.00 60.00 60.00
Closest atoms and distances in Å follow each position.
Element x y z (fractional)
Bi1 0.2500 0.2500 0.2500  4 K 3.19
Co1 0.7500 0.7500 0.7500  4 K 3.19
K1 0.0000 0.0000 0.0000  4 Co 3.19, 4 Bi 3.19


Entry 5:
The following is a DFT calculation (GGA-PBE) of a relaxed structure of KCo3Bi5.

Output
Total DFT energy (no corrections)   -4.701 eV/atom
Volume   238.07 Å³/cell
M_tot   1.69 μB per cell

a b c (Å): 5.5870 5.5870 8.8068
angles (deg): 90.00 90.00 120.00
Closest atoms and distances in Å follow each position.
Element x y z (fractional)
Bi1 0.6667 0.3333 0.2546  3 Co 2.70
Bi2 0.3333 0.6667 0.2546  3 Co 2.70
Bi3 0.0000 0.0000 0.5000  6 Co 2.79
Bi4 0.6667 0.3333 0.7454  3 Co 2.70
Bi5 0.3333 0.6667 0.7454  3 Co 2.70
Co1 0.5000 0.0000 0.5000  6 Bi 2.70-2.79, 4 Co 2.79
Co2 0.0000 0.5000 0.5000  6 Bi 2.70-2.79, 4 Co 2.79
Co3 0.5000 0.5000 0.5000  6 Bi 2.70-2.79, 4 Co 2.79
K1 0.0000 0.0000 0.0000  12 Bi 3.93


Entry 6:
The following is a DFT calculation (GGA-PBE) of a relaxed structure of KCoBiS3.

Output
Total DFT energy (no corrections)   -4.613 eV/atom
Volume   305.58 Å³/cell
M_tot   5.99 μB per cell

a b c (Å): 7.2534 7.2534 10.9521
angles (deg): 90.00 90.00 147.97
Closest atoms and distances in Å follow each position.
Element x y z (fractional)
Bi1 0.0000 0.0000 0.0000  6 S 2.81-2.83
Bi2 0.0000 0.0000 0.5000  6 S 2.81-2.83
Co1 0.4633 0.5367 0.2500  4 S 2.27-2.35
Co2 0.5367 0.4633 0.7500  4 S 2.27-2.35
K1 0.7406 0.2594 0.2500  6 S 3.30-3.31, 2 Co 3.69
K2 0.2594 0.7406 0.7500  6 S 3.30-3.31, 2 Co 3.69
S1 0.3726 0.6274 0.0775  1 Co 2.27
S2 0.0522 0.9478 0.2500  2 Co 2.35
S3 0.3726 0.6274 0.4225  1 Co 2.27
S4 0.6274 0.3726 0.5775  1 Co 2.27
S5 0.9478 0.0522 0.7500  2 Co 2.35
S6 0.6274 0.3726 0.9225  1 Co 2.27


Entry 7:
The following is a DFT calculation (GGA-PBE) of a relaxed structure of KCoBiTe3.

Output
Total DFT energy (no corrections)   -3.887 eV/atom
Volume   407.95 Å³/cell
M_tot   6.01 μB per cell

a b c (Å): 7.9532 7.9532 12.0289
angles (deg): 90.00 90.00 147.58
Closest atoms and distances in Å follow each position.
Element x y z (fractional)
Bi1 0.0000 0.0000 0.0000  6 Te 3.14
Bi2 0.0000 0.0000 0.5000  6 Te 3.14
Co1 0.4607 0.5393 0.2500  4 Te 2.61-2.67
Co2 0.5393 0.4607 0.7500  4 Te 2.61-2.67
K1 0.7427 0.2573 0.2500  6 Te 3.59-3.62, 2 Co 4.00
K2 0.2573 0.7427 0.7500  6 Te 3.59-3.62, 2 Co 4.00
Te1 0.3654 0.6346 0.0702  1 Co 2.61
Te2 0.0581 0.9419 0.2500  2 Co 2.67
Te3 0.3654 0.6346 0.4298  1 Co 2.61
Te4 0.6346 0.3654 0.5702  1 Co 2.61
Te5 0.9419 0.0581 0.7500  2 Co 2.67
Te6 0.6346 0.3654 0.9298  1 Co 2.61


Entry 8:
The following is a DFT calculation (GGA-PBE) of a relaxed structure of La3CoBi.

Output
Total DFT energy (no corrections)   -5.686 eV/atom
Volume   303.74 Å³/cell
M_tot   0.00 μB per cell

a b c (Å): 7.5724 7.5399 7.5240
angles (deg): 60.36 59.93 59.72
Closest atoms and distances in Å follow each position.
Element x y z (fractional)
Bi1 0.2500 0.2500 0.2500  12 La 3.77-3.79
Bi2 0.7500 0.7500 0.7500  12 La 3.77-3.79
Co1 0.0000 0.0000 0.0000  6 La 2.52-2.80
Co2 0.5000 0.5000 0.5000  6 La 2.55-2.85
La1 0.7656 0.7656 0.2344  1 Co 2.52
La2 0.7461 0.2539 0.2539  2 Co 2.61-2.69
La3 0.2617 0.7383 0.2617  2 Co 2.55-2.80
La4 0.7383 0.2617 0.7383  2 Co 2.55-2.80
La5 0.2539 0.7461 0.7461  2 Co 2.61-2.69
La6 0.2344 0.2344 0.7656  1 Co 2.52